# 1
# CuP2OsAu | the Alexandria database | GGA-PBE | relaxed
# Electronic total energy = -0.1656 hartree per atom
# Volume = 87.5 Å³/cell
# Spin magnetization = 1.532 Bohr magnetons per cell
# Formation enthalpy at 0 K = 1.377 eV per atom
data_CuP2OsAu
_chemical_formula_sum 'Cu1 P2 Os1 Au1'
_space_group_name_H-M_alt 'P 4/m m m'
_space_group_IT_number 123
_space_group_name_Hall '-P 4 2'
_cell_length_a 4.299
_cell_length_b 4.299
_cell_length_c 4.734
_cell_angle_alpha 90.00
_cell_angle_beta 90.00
_cell_angle_gamma 90.00
loop_
_atom_site_label
_atom_site_fract_x
_atom_site_fract_y
_atom_site_fract_z
_atom_site_occupancy
Cu1 0.000 0.000 0.000 1
P1 0.000 0.500 0.000 1
Os1 0.500 0.500 0.500 1
Au1 0.000 0.000 0.500 1


# 2
# CuOs2PdAu | the Alexandria database | GGA-PBE | relaxed
# Electronic total energy = -0.1646 hartree per atom
# Volume = 118.6 Å³/cell
# Spin magnetization = 5.115 Bohr magnetons per cell
# Formation enthalpy at 0 K = 2.525 eV per atom
data_CuOs2PdAu
_chemical_formula_sum 'Cu1 Os2 Pd1 Au1'
_space_group_name_H-M_alt 'P 4/m m m'
_space_group_IT_number 123
_space_group_name_Hall '-P 4 2'
_cell_length_a 4.897
_cell_length_b 4.897
_cell_length_c 4.948
_cell_angle_alpha 90.00
_cell_angle_beta 90.00
_cell_angle_gamma 90.00
loop_
_atom_site_label
_atom_site_fract_x
_atom_site_fract_y
_atom_site_fract_z
_atom_site_occupancy
Cu1 0.000 0.000 0.000 1
Os1 0.000 0.500 0.500 1
Pd1 0.500 0.500 0.000 1
Au1 0.500 0.500 0.500 1


# 3
# Sc2CuOsAu | the Alexandria database | GGA-PBE | relaxed
# Electronic total energy = -0.1917 hartree per atom
# Volume = 125.1 Å³/cell
# Spin magnetization = 0.703 Bohr magnetons per cell
# Formation enthalpy at 0 K = 1.036 eV per atom
data_Sc2CuOsAu
_chemical_formula_sum 'Sc2 Cu1 Os1 Au1'
_space_group_name_H-M_alt 'P 4/m m m'
_space_group_IT_number 123
_space_group_name_Hall '-P 4 2'
_cell_length_a 5.062
_cell_length_b 5.062
_cell_length_c 4.882
_cell_angle_alpha 90.00
_cell_angle_beta 90.00
_cell_angle_gamma 90.00
loop_
_atom_site_label
_atom_site_fract_x
_atom_site_fract_y
_atom_site_fract_z
_atom_site_occupancy
Sc1 0.000 0.500 0.000 1
Cu1 0.000 0.000 0.500 1
Os1 0.500 0.500 0.500 1
Au1 0.500 0.500 0.000 1